Computed, not measured: a geometry-optimized Pa2Mn2GaCo5 structure at the PBE level of DFT.

Lattice parameters (Å, degrees): 8.6073 8.6073 3.7717 90.00 90.00 90.00
With the nearest neighbours (Å) after each atom.
Fractional coordinates of all 20 atoms:
Pa: 0.1706 0.3294 0.0000  3 Mn 2.37-2.64
Pa: 0.3294 0.8294 0.0000  3 Mn 2.37-2.64
Pa: 0.6706 0.1706 0.0000  3 Mn 2.37-2.64
Pa: 0.8294 0.6706 0.0000  3 Mn 2.37-2.64
Mn: 0.1345 0.6345 0.0000  3 Pa 2.37-2.64, 6 Co 2.42-2.50
Mn: 0.3655 0.1345 0.0000  3 Pa 2.37-2.64, 6 Co 2.42-2.50
Mn: 0.6345 0.8655 0.0000  3 Pa 2.37-2.64, 6 Co 2.42-2.50
Mn: 0.8655 0.3655 0.0000  3 Pa 2.37-2.64, 6 Co 2.42-2.50
Ga: 0.0000 0.0000 0.0000  8 Co 2.64
Ga: 0.5000 0.5000 0.0000  8 Co 2.64
Co: 0.0000 0.5000 0.5000  4 Mn 2.50, 4 Co 2.65
Co: 0.0727 0.7988 0.5000  2 Mn 2.42, 3 Co 2.60-2.65, 2 Ga 2.64
Co: 0.2012 0.0727 0.5000  2 Mn 2.42, 3 Co 2.60-2.65, 2 Ga 2.64
Co: 0.2988 0.5727 0.5000  2 Mn 2.42, 3 Co 2.60-2.65, 2 Ga 2.64
Co: 0.4273 0.2988 0.5000  2 Mn 2.42, 3 Co 2.60-2.65, 2 Ga 2.64
Co: 0.5000 0.0000 0.5000  4 Mn 2.50, 4 Co 2.65
Co: 0.5727 0.7012 0.5000  2 Mn 2.42, 3 Co 2.60-2.65, 2 Ga 2.64
Co: 0.7012 0.4273 0.5000  2 Mn 2.42, 3 Co 2.60-2.65, 2 Ga 2.64
Co: 0.7988 0.9273 0.5000  2 Mn 2.42, 3 Co 2.60-2.65, 2 Ga 2.64
Co: 0.9273 0.2012 0.5000  2 Mn 2.42, 3 Co 2.60-2.65, 2 Ga 2.64

Results
Total DFT energy (no corrections) ... -7.732 eV/atom
Energy of formation ... -0.143 eV per atom
D(E_F) ... 30.076 states/eV/cell



Computed, not measured: a geometry-optimized MnGaCoRe structure at the PBE level of DFT.

Lattice parameters (Å, degrees): 4.4989 4.4989 4.5517 100.68 100.68 34.79
With the nearest neighbours (Å) after each atom.
Fractional coordinates of all 4 atoms:
Mn: 0.0000 0.0000 0.0000  3 Re 2.52-2.56, 3 Co 2.58-2.76, 4 Ga 2.59-2.70, 2 Mn 2.69
Ga: 0.4886 0.4886 0.4811  3 Co 2.51-2.54, 4 Mn 2.59-2.70, 2 Ga 2.69, 3 Re 2.70-2.75
Co: 0.7408 0.7408 0.2777  3 Ga 2.51-2.54, 3 Mn 2.58-2.76, 4 Re 2.62-2.67, 2 Co 2.69
Re: 0.2497 0.2497 0.7883  3 Mn 2.52-2.56, 4 Co 2.62-2.67, 2 Re 2.69, 3 Ga 2.70-2.75

Results
Total DFT energy (no corrections) ... -7.919 eV/atom
Relative energy among the computed polymorphs ... 45 meV per atom
Energy of formation ... 0.019 eV per atom
D(E_F) ... 4.176 states/eV/cell



Question: Among the records above, which one has the lowest total DFT energy (no corrections)?
Answer: MnGaCoRe



Copy entry 2 word for word.
Computed, not measured: a geometry-optimized MnGaCoRe structure at the PBE level of DFT.

Lattice parameters (Å, degrees): 4.4989 4.4989 4.5517 100.68 100.68 34.79
With the nearest neighbours (Å) after each atom.
Fractional coordinates of all 4 atoms:
Mn: 0.0000 0.0000 0.0000  3 Re 2.52-2.56, 3 Co 2.58-2.76, 4 Ga 2.59-2.70, 2 Mn 2.69
Ga: 0.4886 0.4886 0.4811  3 Co 2.51-2.54, 4 Mn 2.59-2.70, 2 Ga 2.69, 3 Re 2.70-2.75
Co: 0.7408 0.7408 0.2777  3 Ga 2.51-2.54, 3 Mn 2.58-2.76, 4 Re 2.62-2.67, 2 Co 2.69
Re: 0.2497 0.2497 0.7883  3 Mn 2.52-2.56, 4 Co 2.62-2.67, 2 Re 2.69, 3 Ga 2.70-2.75

Results
Total DFT energy (no corrections) ... -7.919 eV/atom
Relative energy among the computed polymorphs ... 45 meV per atom
Energy of formation ... 0.019 eV per atom
D(E_F) ... 4.176 states/eV/cell



Question: What is the total DFT energy (no corrections) in the second record?
Answer: -7.919 eV/atom